A plane-wave DFT calculation with PBE-GGA was carried out for crystalline PuMgSb at its relaxed geometry.

Lattice parameters (Å, degrees): 5.9873 5.9873 6.3045 90.00 90.00 135.77
Fractional positions:
Pu  0.1847  0.8153  0.7500
Pu  0.8153  0.1847  0.2500
Mg  0.5000  0.5000  0.0000
Mg  0.5000  0.5000  0.5000
Sb  0.1162  0.8838  0.2500
Sb  0.8838  0.1162  0.7500

As for the energy above the lowest structure with this stoichiometry: 4 meV/atom. Its space-group type is Cmcm (63). The value obtained for the total energy is -42.30 eV per cell. The energy relative to the elements, uncorrected is -0.37 eV per atom.

***

A plane-wave DFT calculation with PBE-GGA was carried out for crystalline K3Sm2ZrTe6 at its relaxed geometry.

Lattice parameters (Å, degrees): 7.6963 7.6963 8.6940 98.51 98.51 120.03
Fractional positions:
K  0.0000  0.0000  0.0000
K  0.3281  0.6719  0.0000
K  0.6719  0.3281  0.0000
Sm  0.1659  0.8341  0.5000
Sm  0.8341  0.1659  0.5000
Zr  0.5000  0.5000  0.5000
Te  0.1128  0.4304  0.2907
Te  0.2538  0.2538  0.7109
Te  0.4304  0.1128  0.2907
Te  0.5696  0.8872  0.7093
Te  0.7462  0.7462  0.2891
Te  0.8872  0.5696  0.7093

Its space-group type is C2/m (12). The value obtained for the total energy is -54.99 eV per cell. The energy relative to the elements, uncorrected is -1.24 eV per atom.

***

A plane-wave DFT calculation with PBE-GGA was carried out for crystalline K4CeY3Te8 at its relaxed geometry.

Lattice parameters (Å, degrees): 9.7696 9.7696 9.7696 55.41 55.41 55.41
Fractional positions:
K  0.0000  0.0000  0.0000
K  0.0000  0.5000  0.5000
K  0.5000  0.0000  0.5000
K  0.5000  0.5000  0.0000
Ce  0.5000  0.5000  0.5000
Y  0.0000  0.0000  0.5000
Y  0.0000  0.5000  0.0000
Y  0.5000  0.0000  0.0000
Te  0.2295  0.7406  0.7406
Te  0.2359  0.2359  0.2359
Te  0.2594  0.2594  0.7705
Te  0.2594  0.7705  0.2594
Te  0.7406  0.2295  0.7406
Te  0.7406  0.7406  0.2295
Te  0.7641  0.7641  0.7641
Te  0.7705  0.2594  0.2594

Its space-group type is R-3m (166). The value obtained for the total energy is -77.11 eV per cell. The energy relative to the elements, uncorrected is -1.39 eV per atom.

***

A plane-wave DFT calculation with PBE-GGA was carried out for crystalline Y4ZnCu3 at its relaxed geometry.

Lattice parameters (Å, degrees): 3.7920 4.5175 10.4200 90.00 90.00 90.00
Fractional positions:
Y  0.0000  0.0000  0.0000
Y  0.0000  0.5000  0.2744
Y  0.5000  0.0000  0.4868
Y  0.5000  0.5000  0.7782
Zn  0.0000  0.0000  0.7073
Cu  0.0000  0.5000  0.5636
Cu  0.5000  0.0000  0.2064
Cu  0.5000  0.5000  0.0662

As for the energy above the lowest structure with this stoichiometry: 11 meV/atom. Its space-group type is Pmm2 (25). The value obtained for the total energy is -41.48 eV per cell. As for the formation energy: -0.2572 eV/atom.

***

A plane-wave DFT calculation with PBE-GGA was carried out for crystalline DyScZnOs at its relaxed geometry.

Lattice parameters (Å, degrees): 4.7704 4.7704 4.7704 60.00 60.00 60.00
Fractional positions:
Dy  0.0000  0.0000  0.0000
Sc  0.5000  0.5000  0.5000
Zn  0.2500  0.2500  0.2500
Os  0.7500  0.7500  0.7500

Its space-group type is F-43m (216). The value obtained for the total energy is -24.72 eV per cell. As for the formation energy: -0.3216 eV/atom.

***

A plane-wave DFT calculation with PBE-GGA was carried out for crystalline EuPt4Pb at its relaxed geometry.

Lattice parameters (Å, degrees): 5.4921 5.4921 5.4921 60.00 60.00 60.00
Fractional positions:
Eu  0.0000  0.0000  0.0000
Pt  0.1258  0.6247  0.6247
Pt  0.6247  0.1258  0.6247
Pt  0.6247  0.6247  0.1258
Pt  0.6247  0.6247  0.6247
Pb  0.2500  0.2500  0.2500

Its space-group type is F-43m (216). The value obtained for the total energy is -41.93 eV per cell. As for the formation energy: -0.6312 eV/atom.

***

A plane-wave DFT calculation with PBE-GGA was carried out for crystalline Pm2Dy2Al at its relaxed geometry.

Lattice parameters (Å, degrees): 9.3091 9.3091 9.3091 153.42 153.42 37.94
Fractional positions:
Pm  0.2500  0.7500  0.5000
Pm  0.7500  0.2500  0.5000
Dy  0.0852  0.0852  0.0000
Dy  0.9148  0.9148  0.0000
Al  0.5000  0.5000  0.0000

As for the energy above the lowest structure with this stoichiometry: 428 meV/atom. Its space-group type is I4/mmm (139). The value obtained for the total energy is -20.28 eV per cell. As for the formation energy: 0.4335 eV/atom.

***

A plane-wave DFT calculation with PBE-GGA was carried out for crystalline AlCdCl2 at its relaxed geometry.

Lattice parameters (Å, degrees): 3.8760 3.8760 10.0442 99.08 99.08 55.74
Fractional positions:
Al  0.0000  0.0000  0.0000
Cd  0.5000  0.5000  0.5000
Cl  0.2862  0.2862  0.8634
Cl  0.7138  0.7138  0.1366

As for the energy above the lowest structure with this stoichiometry: 235 meV/atom. Its space-group type is C2/m (12). The value obtained for the total energy is -10.15 eV per cell. The energy relative to the elements, uncorrected is -0.45 eV per atom.